Compound: ZrAlRe2
Source: Alexandria via LeMat-Bulk
Functional: PBE
Structure: relaxed

Calculated values
DOS at the Fermi energy = 2.1 states/eV/f.u.
space-group type = No. 10
formation energy from the elements = -0.065 eV/atom
size of the total moment = 0.0 μB per formula unit
final energy = -9.362 eV/atom

Cell lengths 2.7550, 4.4817, 5.3838 Å; angles 90.00, 98.66, 90.00 degrees
Last column: nearest neighbours and their distance in Å.
Atoms (fractional coordinates):
Zr 0.0000 0.0000 0.0000  2 Zr 2.75, 4 Re 2.79, 2 Al 2.83
Al 0.5000 0.0000 0.5000  4 Re 2.73, 2 Al 2.75, 2 Zr 2.83
Re 0.2224 0.5000 0.7312  3 Re 2.60-2.75, 2 Al 2.73, 2 Zr 2.79
Re 0.7776 0.5000 0.2688  3 Re 2.60-2.75, 2 Al 2.73, 2 Zr 2.79